A plane-wave DFT calculation with PBE was carried out for As2RhAu after structural relaxation.

Space-group type: R3m
Electronic total energy: -4.972 eV/atom
Total magnetic moment: 0.0 μB/cell
E_form: 0.010 eV per atom
DOS(E_F): 2.3 states/eV/f.u.

a = 7.379 Å, b = 7.379 Å, c = 7.379 Å
α = 27.45°, β = 27.45°, γ = 27.45°
Positions (direct):
As 0.000 0.000 0.000
As 0.229 0.229 0.229
Rh 0.726 0.726 0.726
Au 0.487 0.487 0.487

A plane-wave DFT calculation with PBE was carried out for Na2LiInI5 after structural relaxation.

Space-group type: Cmc2_1
Formation energy (no corrections): -885.9 meV per atom
Electronic total energy: -2.557 eV/atom
Total magnetic moment: 0.0 μB/cell
DOS(E_F): 4.8 states/eV/f.u.

a = 9.509 Å, b = 9.509 Å, c = 16.287 Å
α = 90.00°, β = 90.00°, γ = 152.12°
Positions (direct):
Na 0.083 0.917 0.500
Na 0.166 0.834 0.112
Na 0.834 0.166 0.612
Na 0.917 0.083 0.000
Li 0.238 0.762 0.877
Li 0.762 0.238 0.377
In 0.449 0.551 0.290
In 0.551 0.449 0.790
I 0.080 0.920 0.914
I 0.251 0.749 0.519
I 0.282 0.718 0.261
I 0.394 0.606 0.864
I 0.489 0.511 0.615
I 0.511 0.489 0.115
I 0.606 0.394 0.364
I 0.718 0.282 0.761
I 0.749 0.251 0.019
I 0.920 0.080 0.414

A plane-wave DFT calculation with PBE was carried out for MoPtSe2 after structural relaxation.

Space-group type: Cmmm
Formation energy (no corrections): 442.1 meV per atom
E above lowest polymorph: 2.313 eV/f.u.
Electronic total energy: -5.518 eV/atom
Total magnetic moment: 0.0 μB/cell
DOS(E_F): 4.1 states/eV/f.u.

a = 2.942 Å, b = 2.942 Å, c = 9.047 Å
α = 90.00°, β = 90.00°, γ = 116.14°
Positions (direct):
Mo 0.000 0.000 0.000
Pt 0.000 0.000 0.500
Se 0.500 0.500 0.229
Se 0.500 0.500 0.771

A plane-wave DFT calculation with PBE was carried out for Ni2OsRh after structural relaxation.

Space-group type: P4mm
Electronic total energy: -7.449 eV/atom
Total magnetic moment: 0.5 μB/cell
E_form: 0.087 eV per atom
DOS(E_F): 4.6 states/eV/f.u.

a = 2.678 Å, b = 2.678 Å, c = 7.088 Å
α = 90.00°, β = 90.00°, γ = 90.00°
Positions (direct):
Ni 0.000 0.000 0.000
Ni 0.500 0.500 0.230
Os 0.000 0.000 0.476
Rh 0.500 0.500 0.741